Compound: ThCuPO
Source: Alexandria
Functional: PBE
Structure: relaxed

Properties
Uncorrected formation energy (eV per atom): -2.00
Size of the total moment (μB/f.u.): 0.00
DOS(E_F) (states/eV per atom): 0.0560

Cell: 3.9057 3.9057 8.2822 Å, 90.00 90.00 90.00°
Element x y z (fractional)
Th  0.2500  0.2500  0.1673
Th  0.7500  0.7500  0.8327
Cu  0.2500  0.7500  0.5000
Cu  0.7500  0.2500  0.5000
P  0.2500  0.2500  0.6700
P  0.7500  0.7500  0.3300
O  0.2500  0.7500  0.0000
O  0.7500  0.2500  0.0000